DFT (PBE) results for an optimized crystal structure of Pu2PaAg.

Lattice parameters (Å, degrees): 3.4011 3.4011 8.2142 90.00 90.00 90.00
Fractional positions:
Pu 0.0000 0.0000 0.2457
Pu 0.0000 0.0000 0.7543
Pa 0.5000 0.5000 0.0000
Ag 0.5000 0.5000 0.5000

Computed properties:
Its space-group type is P4/mmm (123). The calculation puts the formation enthalpy at 0 K at 0.12 eV per atom. As for the energy: -10.130 eV/atom. The calculation puts the excess energy over the best structure of this formula in the dataset at 0.000 eV per atom.



DFT (PBE) results for an optimized crystal structure of PuPaAg4.

Lattice parameters (Å, degrees): 5.6779 5.6779 5.6779 60.00 60.00 60.00
Fractional positions:
Pu 0.0000 0.0000 0.0000
Pa 0.7500 0.7500 0.7500
Ag 0.3751 0.3751 0.3751
Ag 0.3751 0.3751 0.8748
Ag 0.3751 0.8748 0.3751
Ag 0.8748 0.3751 0.3751

Computed properties:
Its space-group type is F-43m (216). The calculation puts the formation enthalpy at 0 K at 0.16 eV per atom. As for the energy: -5.710 eV/atom.



DFT (PBE) results for an optimized crystal structure of PuPaAgRu.

Lattice parameters (Å, degrees): 4.9597 4.9597 4.9597 60.00 60.00 60.00
Fractional positions:
Pu 0.0000 0.0000 0.0000
Pa 0.5000 0.5000 0.5000
Ag 0.2500 0.2500 0.2500
Ru 0.7500 0.7500 0.7500

Computed properties:
Its space-group type is F-43m (216). The calculation puts the formation enthalpy at 0 K at 0.04 eV per atom. As for the energy: -8.953 eV/atom.



DFT (PBE) results for an optimized crystal structure of PuPaAgSn.

Lattice parameters (Å, degrees): 5.2601 5.2601 5.2601 60.00 60.00 60.00
Fractional positions:
Pu 0.0000 0.0000 0.0000
Pa 0.5000 0.5000 0.5000
Ag 0.7500 0.7500 0.7500
Sn 0.2500 0.2500 0.2500

Computed properties:
Its space-group type is F-43m (216). The calculation puts the formation enthalpy at 0 K at 0.02 eV per atom. As for the energy: -7.650 eV/atom.



DFT (PBE) results for an optimized crystal structure of PuPaTcAg.

Lattice parameters (Å, degrees): 4.9621 4.9621 4.9621 60.00 60.00 60.00
Fractional positions:
Pu 0.0000 0.0000 0.0000
Pa 0.5000 0.5000 0.5000
Tc 0.2500 0.2500 0.2500
Ag 0.7500 0.7500 0.7500

Computed properties:
Its space-group type is F-43m (216). The calculation puts the formation enthalpy at 0 K at 0.15 eV per atom. As for the energy: -9.109 eV/atom.



DFT (PBE) results for an optimized crystal structure of Rb2PaAg2S6.

Lattice parameters (Å, degrees): 7.3997 7.3997 7.5171 90.00 90.00 120.00
Fractional positions:
Rb 0.3333 0.6667 0.3299
Rb 0.6667 0.3333 0.6701
Pa 0.0000 0.0000 0.0000
Ag 0.3333 0.6667 0.8167
Ag 0.6667 0.3333 0.1833
S 0.1005 0.3049 0.7716
S 0.2044 0.8995 0.7716
S 0.3049 0.2044 0.2284
S 0.6951 0.7956 0.7716
S 0.7956 0.1005 0.2284
S 0.8995 0.6951 0.2284

Computed properties:
Its space-group type is P-3 (147). As for the energy: -4.472 eV/atom.



DFT (PBE) results for an optimized crystal structure of Rb2PaAgS4.

Lattice parameters (Å, degrees): 7.0468 7.0468 7.0468 114.35 114.35 100.09
Fractional positions:
Rb 0.0000 0.0000 0.0000
Rb 0.7500 0.2500 0.5000
Pa 0.5000 0.5000 0.0000
Ag 0.2500 0.7500 0.5000
S 0.1932 0.5920 0.0669
S 0.4080 0.4750 0.6012
S 0.5250 0.1262 0.9331
S 0.8738 0.8068 0.3988

Computed properties:
Its space-group type is I-4 (82). As for the energy: -4.903 eV/atom.



DFT (PBE) results for an optimized crystal structure of RbPa2Ag2S6.

Lattice parameters (Å, degrees): 7.2848 7.3902 7.7244 65.07 64.04 61.05
Fractional positions:
Rb 0.0000 0.0000 0.0000
Pa 0.3313 0.3351 0.0000
Pa 0.6687 0.6649 0.0000
Ag 0.4448 0.7001 0.5556
Ag 0.5552 0.2999 0.4444
S 0.0770 0.6655 0.7783
S 0.3158 0.5515 0.2189
S 0.4712 0.0604 0.7784
S 0.5288 0.9396 0.2216
S 0.6842 0.4485 0.7811
S 0.9230 0.3345 0.2217

Computed properties:
Its space-group type is P-1 (2). As for the energy: -5.715 eV/atom.



DFT (PBE) results for an optimized crystal structure of RbPa2AgS5.

Lattice parameters (Å, degrees): 9.1958 9.1958 9.1958 130.76 130.76 72.19
Fractional positions:
Rb 0.2500 0.2500 0.0000
Rb 0.7500 0.7500 0.0000
Pa 0.1604 0.6604 0.8207
Pa 0.3396 0.1604 0.5000
Pa 0.6604 0.8396 0.5000
Pa 0.8396 0.3396 0.1793
Ag 0.2500 0.7500 0.5000
Ag 0.7500 0.2500 0.5000
S 0.0000 0.0000 0.0000
S 0.0306 0.2407 0.5000
S 0.2407 0.7407 0.2101
S 0.2593 0.4694 0.5000
S 0.4694 0.9694 0.2101
S 0.5000 0.5000 0.0000
S 0.5306 0.0306 0.7899
S 0.7407 0.5306 0.5000
S 0.7593 0.2593 0.7899
S 0.9694 0.7593 0.5000

Computed properties:
Its space-group type is I4/mcm (140). As for the energy: -6.174 eV/atom.



DFT (PBE) results for an optimized crystal structure of RbPaAgS4.

Lattice parameters (Å, degrees): 7.0912 5.4835 9.8752 90.00 111.11 90.00
Fractional positions:
Rb 0.2377 0.2500 0.4659
Rb 0.7623 0.7500 0.5341
Pa 0.2271 0.2500 0.9459
Pa 0.7729 0.7500 0.0541
Ag 0.2665 0.7500 0.2037
Ag 0.7335 0.2500 0.7963
S 0.0227 0.7500 0.3218
S 0.0620 0.7500 0.9265
S 0.4598 0.5203 0.8202
S 0.4598 0.9797 0.8202
S 0.5402 0.0203 0.1798
S 0.5402 0.4797 0.1798
S 0.9380 0.2500 0.0735
S 0.9773 0.2500 0.6782

Computed properties:
Its space-group type is P2_1/m (11). As for the energy: -5.310 eV/atom.



DFT (PBE) results for an optimized crystal structure of RbPa2AgS6.

Lattice parameters (Å, degrees): 9.7521 9.7521 8.2741 104.95 104.95 100.85
Fractional positions:
Rb 0.1052 0.8948 0.7500
Rb 0.8948 0.1052 0.2500
Pa 0.2763 0.4503 0.8403
Pa 0.4503 0.2763 0.3403
Pa 0.5497 0.7237 0.6597
Pa 0.7237 0.5497 0.1597
Ag 0.1809 0.8191 0.2500
Ag 0.8191 0.1809 0.7500
S 0.0723 0.2233 0.6969
S 0.1617 0.6379 0.9569
S 0.2233 0.0723 0.1969
S 0.3297 0.4565 0.5359
S 0.3621 0.8383 0.5431
S 0.4565 0.3297 0.0359
S 0.5435 0.6703 0.9641
S 0.6379 0.1617 0.4569
S 0.6703 0.5435 0.4641
S 0.7767 0.9277 0.8031
S 0.8383 0.3621 0.0431
S 0.9277 0.7767 0.3031

Computed properties:
Its space-group type is C2/c (15). As for the energy: -5.845 eV/atom.



DFT (PBE) results for an optimized crystal structure of Rb2PaAg2S4.

Lattice parameters (Å, degrees): 7.8833 7.8833 7.9734 109.10 109.10 30.58
Fractional positions:
Rb 0.1362 0.1362 0.0675
Rb 0.8638 0.8638 0.9325
Pa 0.0000 0.0000 0.5000
Ag 0.3205 0.3205 0.5171
Ag 0.6795 0.6795 0.4829
S 0.1900 0.1900 0.6851
S 0.4892 0.4892 0.7267
S 0.5108 0.5108 0.2733
S 0.8100 0.8100 0.3149

Computed properties:
Its space-group type is C2/m (12). As for the energy: -4.781 eV/atom.



DFT (PBE) results for an optimized crystal structure of Rb4Pa3AgS8.

Lattice parameters (Å, degrees): 9.0611 9.0611 9.0611 53.63 53.63 53.63
Fractional positions:
Rb 0.0000 0.0000 0.0000
Rb 0.0000 0.5000 0.5000
Rb 0.5000 0.0000 0.5000
Rb 0.5000 0.5000 0.0000
Pa 0.0000 0.0000 0.5000
Pa 0.0000 0.5000 0.0000
Pa 0.5000 0.0000 0.0000
Ag 0.5000 0.5000 0.5000
S 0.2164 0.7391 0.7391
S 0.2310 0.2310 0.2310
S 0.2609 0.2609 0.7836
S 0.2609 0.7836 0.2609
S 0.7391 0.2164 0.7391
S 0.7391 0.7391 0.2164
S 0.7690 0.7690 0.7690
S 0.7836 0.2609 0.2609

Computed properties:
Its space-group type is R-3m (166). As for the energy: -5.590 eV/atom.



DFT (PBE) results for an optimized crystal structure of Rb2PaAgSe4.

Lattice parameters (Å, degrees): 7.3096 4.3257 8.3251 90.00 109.09 90.00
Fractional positions:
Rb 0.0000 0.0000 0.0000
Rb 0.5000 0.5000 0.0000
Pa 0.0000 0.5000 0.5000
Ag 0.5000 0.0000 0.5000
Se 0.2104 0.0000 0.7002
Se 0.2527 0.5000 0.3183
Se 0.7473 0.5000 0.6817
Se 0.7896 0.0000 0.2998

Computed properties:
Its space-group type is P2/m (10). As for the energy: -4.604 eV/atom.



DFT (PBE) results for an optimized crystal structure of Rb2PaAg2Se4.

Lattice parameters (Å, degrees): 8.1354 8.1354 8.2686 108.74 108.74 30.72
Fractional positions:
Rb 0.1359 0.1359 0.0724
Rb 0.8641 0.8641 0.9276
Pa 0.0000 0.0000 0.5000
Ag 0.3192 0.3192 0.5156
Ag 0.6808 0.6808 0.4844
Se 0.1916 0.1916 0.6900
Se 0.4890 0.4890 0.7316
Se 0.5110 0.5110 0.2684
Se 0.8084 0.8084 0.3100

Computed properties:
Its space-group type is C2/m (12). As for the energy: -4.445 eV/atom.



DFT (PBE) results for an optimized crystal structure of RbPaAgSe4.

Lattice parameters (Å, degrees): 7.3786 5.8036 10.0902 90.00 110.70 90.00
Fractional positions:
Rb 0.2488 0.2500 0.4555
Rb 0.7512 0.7500 0.5445
Pa 0.2279 0.2500 0.9458
Pa 0.7721 0.7500 0.0542
Ag 0.2498 0.7500 0.1962
Ag 0.7502 0.2500 0.8038
Se 0.0191 0.7500 0.3310
Se 0.0594 0.7500 0.9181
Se 0.4630 0.5140 0.8144
Se 0.4630 0.9860 0.8144
Se 0.5370 0.0140 0.1856
Se 0.5370 0.4860 0.1856
Se 0.9406 0.2500 0.0819
Se 0.9809 0.2500 0.6690

Computed properties:
Its space-group type is P2_1/m (11). As for the energy: -4.873 eV/atom.



DFT (PBE) results for an optimized crystal structure of RbPaAg2Se4.

Lattice parameters (Å, degrees): 6.9585 6.9585 6.9585 120.05 109.50 99.52
Fractional positions:
Rb 0.0000 0.0000 0.0000
Pa 0.5000 0.5000 0.0000
Ag 0.3391 0.8391 0.5000
Ag 0.6609 0.1609 0.5000
Se 0.1256 0.1115 0.5899
Se 0.4784 0.8885 0.0141
Se 0.5216 0.5357 0.4101
Se 0.8744 0.4643 0.9859

Computed properties:
Its space-group type is I222 (23). As for the energy: -4.500 eV/atom.



DFT (PBE) results for an optimized crystal structure of RbPa2AgSe5.

Lattice parameters (Å, degrees): 9.6386 9.6386 9.6386 131.20 131.20 71.50
Fractional positions:
Rb 0.2500 0.2500 0.0000
Rb 0.7500 0.7500 0.0000
Pa 0.1571 0.6571 0.8142
Pa 0.3429 0.1571 0.5000
Pa 0.6571 0.8429 0.5000
Pa 0.8429 0.3429 0.1858
Ag 0.2500 0.7500 0.5000
Ag 0.7500 0.2500 0.5000
Se 0.0000 0.0000 0.0000
Se 0.0305 0.2371 0.5000
Se 0.2371 0.7371 0.2066
Se 0.2629 0.4695 0.5000
Se 0.4695 0.9695 0.2066
Se 0.5000 0.5000 0.0000
Se 0.5305 0.0305 0.7934
Se 0.7371 0.5305 0.5000
Se 0.7629 0.2629 0.7934
Se 0.9695 0.7629 0.5000

Computed properties:
Its space-group type is I4/mcm (140). As for the energy: -5.646 eV/atom.



DFT (PBE) results for an optimized crystal structure of Rb2Pa2AgSe6.

Lattice parameters (Å, degrees): 7.3280 7.3280 8.5004 97.18 97.18 122.04
Fractional positions:
Rb 0.1556 0.8444 0.0000
Rb 0.8444 0.1556 0.0000
Pa 0.3359 0.6641 0.5000
Pa 0.6641 0.3359 0.5000
Ag 0.0000 0.0000 0.5000
Se 0.0556 0.4197 0.6952
Se 0.2827 0.2827 0.3124
Se 0.4197 0.0556 0.6952
Se 0.5803 0.9444 0.3048
Se 0.7173 0.7173 0.6876
Se 0.9444 0.5803 0.3048

Computed properties:
Its space-group type is C2/m (12). As for the energy: -5.272 eV/atom.



DFT (PBE) results for an optimized crystal structure of Rb3Pa3AgSe8.

Lattice parameters (Å, degrees): 9.4629 9.4629 9.4629 52.69 52.69 52.69
Fractional positions:
Rb 0.0000 0.5000 0.5000
Rb 0.5000 0.0000 0.5000
Rb 0.5000 0.5000 0.0000
Pa 0.0000 0.0000 0.5000
Pa 0.0000 0.5000 0.0000
Pa 0.5000 0.0000 0.0000
Ag 0.5000 0.5000 0.5000
Se 0.2164 0.7389 0.7389
Se 0.2331 0.2331 0.2331
Se 0.2611 0.2611 0.7836
Se 0.2611 0.7836 0.2611
Se 0.7389 0.2164 0.7389
Se 0.7389 0.7389 0.2164
Se 0.7669 0.7669 0.7669
Se 0.7836 0.2611 0.2611

Computed properties:
Its space-group type is R-3m (166). As for the energy: -5.357 eV/atom.